No. 1
First-principles (PBE-GGA) data for an optimized crystal structure of LuV2Fe10, as listed in Alexandria via LeMat-Bulk.

Structure (POSCAR):
```
LuV2Fe10
1.0
-2.337 4.182 4.224
2.337 -4.182 4.224
2.337 4.182 -4.224
Lu V Fe
1 2 10
direct
0.000 0.000 0.000 Lu
0.358 0.358 0.000 V
0.642 0.642 0.000 V
0.000 0.000 0.500 Fe
0.000 0.500 0.000 Fe
0.222 0.500 0.722 Fe
0.225 0.725 0.500 Fe
0.358 0.000 0.358 Fe
0.500 0.000 0.000 Fe
0.500 0.500 0.500 Fe
0.642 0.000 0.642 Fe
0.775 0.275 0.500 Fe
0.778 0.500 0.278 Fe
```

Results
total DFT energy (no corrections)	-8.34	eV per atom
total magnetic moment	16.6	μB per cell
space group	Immm, No. 71
calculated formation energy	-84	meV/atom


No. 2
First-principles (PBE-GGA) data for an optimized crystal structure of TiFeRu2W, as listed in Alexandria via LeMat-Bulk.

Structure (POSCAR):
```
TiFeRu2W
1.0
4.352 0.000 0.000
0.000 4.352 0.000
0.000 0.000 4.297
Ti Fe Ru W
1 1 2 1
direct
0.000 0.000 0.000 Ti
0.000 0.000 0.500 Fe
0.000 0.500 0.500 Ru
0.500 0.000 0.500 Ru
0.500 0.500 0.000 W
```

Results
total DFT energy (no corrections)	-8.49	eV per atom
total magnetic moment	0.0	μB per cell
space group	P4/mmm, No. 123
calculated formation energy	1081	meV/atom


No. 3
First-principles (PBE-GGA) data for an optimized crystal structure of CsSr2Cd2, as listed in Alexandria via LeMat-Bulk.

Structure (POSCAR):
```
CsSr2Cd2
1.0
10.014 0.000 0.000
0.000 10.014 0.000
0.000 0.000 4.278
Cs Sr Cd
2 4 4
direct
0.000 0.000 0.000 Cs
0.500 0.500 0.000 Cs
0.143 0.357 0.500 Sr
0.357 0.857 0.500 Sr
0.643 0.143 0.500 Sr
0.857 0.643 0.500 Sr
0.143 0.643 0.000 Cd
0.357 0.143 0.000 Cd
0.643 0.857 0.000 Cd
0.857 0.357 0.000 Cd
```

Results
total DFT energy (no corrections)	-1.32	eV per atom
total magnetic moment	0.0	μB per cell
space group	P4/mbm, No. 127
calculated formation energy	-109	meV/atom


No. 4
First-principles (PBE-GGA) data for an optimized crystal structure of AcTh2Tl, as listed in Alexandria via LeMat-Bulk.

Structure (POSCAR):
```
AcTh2Tl
1.0
5.048 0.000 0.000
0.000 5.048 0.000
0.000 0.000 5.153
Ac Th Tl
1 2 1
direct
0.000 0.000 0.000 Ac
0.000 0.500 0.500 Th
0.500 0.000 0.500 Th
0.500 0.500 0.000 Tl
```

Results
total DFT energy (no corrections)	-5.33	eV per atom
total magnetic moment	0.0	μB per cell
space group	P4/mmm, No. 123
calculated formation energy	-3	meV/atom


No. 5
First-principles (PBE-GGA) data for an optimized crystal structure of CaEr5, as listed in Alexandria via LeMat-Bulk.

Structure (POSCAR):
```
CaEr5
1.0
2.828 -8.774 0.000
2.828 8.774 0.000
0.000 0.000 3.860
Ca Er
1 5
direct
0.000 0.000 0.000 Ca
0.156 0.844 0.500 Er
0.319 0.681 0.000 Er
0.500 0.500 0.500 Er
0.681 0.319 0.000 Er
0.844 0.156 0.500 Er
```

Results
total DFT energy (no corrections)	-3.98	eV per atom
total magnetic moment	0.0	μB per cell
space group	Cmmm, No. 65
calculated formation energy	155	meV/atom


No. 6
First-principles (PBE-GGA) data for an optimized crystal structure of Li2CoSb, as listed in Alexandria via LeMat-Bulk.

Structure (POSCAR):
```
Li2CoSb
1.0
-3.741 3.741 2.438
3.741 -3.741 2.438
3.741 3.741 -2.438
Li Co Sb
4 2 2
direct
0.079 0.625 0.954 Li
0.375 0.329 0.454 Li
0.671 0.125 0.046 Li
0.875 0.921 0.546 Li
0.000 0.000 0.000 Co
0.750 0.250 0.500 Co
0.250 0.750 0.500 Sb
0.500 0.500 0.000 Sb
```

Results
total DFT energy (no corrections)	-3.62	eV per atom
total magnetic moment	0.0	μB per cell
ΔE_f (raw)	147.4	meV per atom
space group	I-42d, No. 122


No. 7
First-principles (PBE-GGA) data for an optimized crystal structure of TaSb3Os, as listed in Alexandria via LeMat-Bulk.

Structure (POSCAR):
```
TaSb3Os
1.0
5.116 0.000 0.000
0.000 5.116 0.000
0.000 0.000 5.116
Ta Sb Os
1 3 1
direct
0.000 0.000 0.000 Ta
0.000 0.500 0.500 Sb
0.500 0.000 0.500 Sb
0.500 0.500 0.000 Sb
0.500 0.500 0.500 Os
```

Results
total DFT energy (no corrections)	-5.77	eV per atom
total magnetic moment	3.2	μB per cell
ΔE_f (raw)	1324.8	meV per atom
space group	Pm-3m, No. 221


No. 8
First-principles (PBE-GGA) data for an optimized crystal structure of Li8NdAg4, as listed in Alexandria via LeMat-Bulk.

Structure (POSCAR):
```
Li8NdAg4
1.0
-4.647 4.647 2.831
4.647 -4.647 2.831
4.647 4.647 -2.831
Li Nd Ag
8 1 4
direct
0.000 0.221 0.221 Li
0.000 0.779 0.779 Li
0.151 0.500 0.651 Li
0.221 0.000 0.221 Li
0.500 0.151 0.651 Li
0.500 0.849 0.349 Li
0.779 0.000 0.779 Li
0.849 0.500 0.349 Li
0.500 0.500 0.000 Nd
0.000 0.000 0.500 Ag
0.000 0.500 0.000 Ag
0.500 0.000 0.000 Ag
0.500 0.500 0.500 Ag
```

Results
total DFT energy (no corrections)	-2.55	eV per atom
total magnetic moment	0.3	μB per cell
space group	I4/mmm, No. 139
calculated formation energy	-128	meV/atom


No. 9
First-principles (PBE-GGA) data for an optimized crystal structure of Pr3MgCl, as listed in Alexandria via LeMat-Bulk.

Structure (POSCAR):
```
Pr3MgCl
1.0
5.452 0.000 0.000
0.000 5.452 0.000
0.000 0.000 5.452
Pr Mg Cl
3 1 1
direct
0.000 0.000 0.500 Pr
0.000 0.500 0.000 Pr
0.500 0.000 0.000 Pr
0.500 0.500 0.500 Mg
0.000 0.000 0.000 Cl
```

Results
total DFT energy (no corrections)	-4.04	eV per atom
total magnetic moment	0.0	μB per cell
ΔE_f (raw)	-480.7	meV per atom
space group	Pm-3m, No. 221


No. 10
First-principles (PBE-GGA) data for an optimized crystal structure of Tb2Si2GeRh5, as listed in Alexandria via LeMat-Bulk.

Structure (POSCAR):
```
Tb2Si2GeRh5
1.0
9.726 0.000 0.000
0.000 9.726 0.000
0.000 0.000 3.482
Tb Si Ge Rh
4 4 2 10
direct
0.175 0.325 0.000 Tb
0.325 0.825 0.000 Tb
0.675 0.175 0.000 Tb
0.825 0.675 0.000 Tb
0.123 0.623 0.000 Si
0.377 0.123 0.000 Si
0.623 0.877 0.000 Si
0.877 0.377 0.000 Si
0.000 0.000 0.000 Ge
0.500 0.500 0.000 Ge
0.000 0.500 0.500 Rh
0.068 0.788 0.500 Rh
0.212 0.068 0.500 Rh
0.288 0.568 0.500 Rh
0.432 0.288 0.500 Rh
0.500 0.000 0.500 Rh
0.568 0.712 0.500 Rh
0.712 0.432 0.500 Rh
0.788 0.932 0.500 Rh
0.932 0.212 0.500 Rh
```

Results
total DFT energy (no corrections)	-7.05	eV per atom
total magnetic moment	0.0	μB per cell
ΔE_f (raw)	-903.1	meV per atom
space group	P4/mbm, No. 127


No. 11
First-principles (PBE-GGA) data for an optimized crystal structure of Rb4OsO5, as listed in Alexandria via LeMat-Bulk.

Structure (POSCAR):
```
Rb4OsO5
1.0
-4.286 4.286 2.894
4.286 -4.286 2.894
4.286 4.286 -2.894
Rb Os O
4 1 5
direct
0.109 0.296 0.404 Rb
0.296 0.891 0.187 Rb
0.704 0.109 0.813 Rb
0.891 0.704 0.596 Rb
0.550 0.550 0.000 Os
0.272 0.550 0.856 O
0.416 0.272 0.722 O
0.550 0.694 0.278 O
0.694 0.416 0.144 O
0.866 0.866 0.000 O
```

Results
total DFT energy (no corrections)	-5.28	eV per atom
total magnetic moment	2.0	μB per cell
ΔE_f (raw)	-1286.9	meV per atom
space group	I4, No. 79


No. 12
First-principles (PBE-GGA) data for an optimized crystal structure of TlSn3Ge, as listed in Alexandria via LeMat-Bulk.

Structure (POSCAR):
```
TlSn3Ge
1.0
5.669 0.000 0.000
0.000 5.669 0.000
0.000 0.000 5.669
Tl Sn Ge
1 3 1
direct
0.000 0.000 0.000 Tl
0.000 0.000 0.500 Sn
0.000 0.500 0.000 Sn
0.500 0.000 0.000 Sn
0.500 0.500 0.500 Ge
```

Results
total DFT energy (no corrections)	-2.90	eV per atom
total magnetic moment	0.0	μB per cell
space group	Pm-3m, No. 221
calculated formation energy	902	meV/atom


> Which formula does entry 2 have?

TiFeRu2W


> What is the total magnetic moment in the first record?

16.6 μB per cell